(1)
## Pr2SmScSb4 (GGA-PBE)

Data for an optimized crystal structure of Pr2SmScSb4.

Geometry as POSCAR:
```
Pr2SmScSb4
1.0
4.4516 0.0000 0.0000
0.0000 7.6991 0.1312
0.0000 -2.6939 7.2003
Pr Sm Sc Sb
2 1 1 4
Direct
0.5000 0.0000 0.5000
0.0000 0.5000 0.5000
0.5000 0.5000 0.0000
0.0000 0.0000 0.0000
0.5000 0.2348 0.2312
0.5000 0.7652 0.7688
0.0000 0.2451 0.7621
0.0000 0.7549 0.2379
```

energy relative to the elements, uncorrected: -1099 meV per atom
calculated total energy: -5.736 eV per atom


(2)
## Tb2PrScSb4 (GGA-PBE)

Data for an optimized crystal structure of Tb2PrScSb4.

Geometry as POSCAR:
```
Tb2PrScSb4
1.0
4.3950 0.0000 0.0000
0.0000 7.5948 0.1279
0.0000 -2.6599 7.1292
Tb Pr Sc Sb
2 1 1 4
Direct
0.5000 0.0000 0.5000
0.0000 0.5000 0.5000
0.5000 0.5000 0.0000
0.0000 0.0000 0.0000
0.5000 0.2364 0.2430
0.5000 0.7636 0.7570
0.0000 0.2382 0.7484
0.0000 0.7618 0.2516
```

energy relative to the elements, uncorrected: -1076 meV per atom
calculated total energy: -5.683 eV per atom


(3)
## PrScSbTe (GGA-PBE)

Data for an optimized crystal structure of PrScSbTe.

Geometry as POSCAR:
```
PrScSbTe
1.0
4.3499 0.0000 0.0000
2.1750 3.7672 0.0000
2.1750 1.2557 7.1622
Pr Sc Sb Te
1 1 1 1
Direct
0.6038 0.6038 0.1886
0.1112 0.1112 0.6664
0.8483 0.8483 0.4550
0.3661 0.3661 0.9017
```

energy relative to the elements, uncorrected: -1193 meV per atom
calculated total energy: -5.787 eV per atom


(4)
## Pr2ThScSb4 (GGA-PBE)

Data for an optimized crystal structure of Pr2ThScSb4.

Geometry as POSCAR:
```
Pr2ThScSb4
1.0
-0.6724 3.8319 -2.1998
-4.0079 2.7222 5.9671
7.4808 1.8107 0.8674
Pr Th Sc Sb
2 1 1 4
Direct
0.5000 0.0000 0.5000
0.0000 0.5000 0.5000
0.0000 0.0000 0.0000
0.5000 0.5000 0.0000
0.5000 0.2572 0.2399
0.5000 0.7428 0.7601
0.0000 0.2661 0.7680
0.0000 0.7339 0.2320
```

energy relative to the elements, uncorrected: -1049 meV per atom
calculated total energy: -6.024 eV per atom


(5)
## PrTh2ScSb4 (GGA-PBE)

Data for an optimized crystal structure of PrTh2ScSb4.

Geometry as POSCAR:
```
PrTh2ScSb4
1.0
-3.5988 1.8133 1.9146
-3.6427 -6.7927 -0.4137
3.7855 0.5035 6.6386
Pr Th Sc Sb
1 2 1 4
Direct
0.0000 0.0000 0.0000
0.5000 0.0000 0.5000
0.0000 0.5000 0.5000
0.5000 0.5000 0.0000
0.5000 0.2583 0.2437
0.5000 0.7417 0.7563
0.0000 0.2650 0.7641
0.0000 0.7350 0.2359
```

energy relative to the elements, uncorrected: -963 meV per atom
calculated total energy: -6.268 eV per atom


(6)
## Pr2TmScSb4 (GGA-PBE)

Data for an optimized crystal structure of Pr2TmScSb4.

Geometry as POSCAR:
```
Pr2TmScSb4
1.0
4.4189 0.0000 0.0000
0.0000 7.6477 0.1321
0.0000 -2.6737 7.1276
Pr Tm Sc Sb
2 1 1 4
Direct
0.5000 0.0000 0.5000
0.0000 0.5000 0.5000
0.5000 0.5000 0.0000
0.0000 0.0000 0.0000
0.5000 0.2378 0.2280
0.5000 0.7622 0.7720
0.0000 0.2511 0.7683
0.0000 0.7489 0.2317
```

energy relative to the elements, uncorrected: -1079 meV per atom
calculated total energy: -5.686 eV per atom


(7)
## Pr2ZrScSb4 (GGA-PBE)

Data for an optimized crystal structure of Pr2ZrScSb4.

Geometry as POSCAR:
```
Pr2ZrScSb4
1.0
-3.5447 -0.9486 2.3277
2.7558 -6.8559 1.4027
2.2658 4.7573 5.3893
Pr Zr Sc Sb
2 1 1 4
Direct
0.5000 0.0000 0.5000
0.0000 0.5000 0.5000
0.0000 0.0000 0.0000
0.5000 0.5000 0.0000
0.5000 0.2417 0.2244
0.5000 0.7583 0.7756
0.0000 0.2587 0.7765
0.0000 0.7413 0.2235
```

energy relative to the elements, uncorrected: -974 meV per atom
calculated total energy: -6.090 eV per atom


(8)
## PrSbSe4 (GGA-PBE)

Data for an optimized crystal structure of PrSbSe4.

Geometry as POSCAR:
```
PrSbSe4
1.0
-4.8059 -2.5490 -5.0704
-4.5503 -2.3237 5.4811
1.2430 7.5679 0.4709
Pr Sb Se
2 2 8
Direct
0.2037 0.7500 0.0000
0.7963 0.2500 0.0000
0.5000 0.5000 0.5000
0.0000 0.0000 0.5000
0.1815 0.1452 0.3014
0.1198 0.6452 0.3014
0.6029 0.0902 0.2001
0.5972 0.5902 0.2001
0.3971 0.9098 0.7999
0.4028 0.4098 0.7999
0.8185 0.8548 0.6986
0.8802 0.3548 0.6986
```

energy relative to the elements, uncorrected: -785 meV per atom
calculated total energy: -4.592 eV per atom


(9)
## Pr4Sb3Se (GGA-PBE)

Data for an optimized crystal structure of Pr4Sb3Se.

Geometry as POSCAR:
```
Pr4Sb3Se
1.0
-1.4549 -7.6405 -0.1151
1.4869 2.2502 7.2899
-8.7602 1.6489 1.2778
Pr Sb Se
8 6 2
Direct
0.9969 0.2478 0.6275
0.5008 0.2456 0.8775
0.4969 0.2478 0.3725
0.0008 0.2456 0.1225
0.9992 0.7544 0.8775
0.5031 0.7522 0.6275
0.4992 0.7544 0.1225
0.0031 0.7522 0.3725
0.7500 0.0000 0.3736
0.2500 0.0000 0.6264
0.7500 0.5000 0.6259
0.7500 0.5000 0.1245
0.2500 0.5000 0.3741
0.2500 0.5000 0.8755
0.7500 0.0000 0.8769
0.2500 0.0000 0.1231
```

energy relative to the elements, uncorrected: -1372 meV per atom
calculated total energy: -5.743 eV per atom


(10)
## Pr2SbSe5 (GGA-PBE)

Data for an optimized crystal structure of Pr2SbSe5.

Geometry as POSCAR:
```
Pr2SbSe5
1.0
4.2216 0.0000 0.0000
0.0000 8.1903 0.0000
0.0000 0.0000 12.1195
Pr Sb Se
4 2 10
Direct
0.5000 0.5466 0.1739
0.5000 0.4534 0.8261
0.5000 0.9534 0.6739
0.5000 0.0466 0.3261
0.0000 0.5000 0.5000
0.0000 0.0000 0.0000
0.0000 0.0000 0.5000
0.0000 0.5000 0.0000
0.0000 0.8299 0.2014
0.0000 0.1701 0.7986
0.0000 0.6701 0.7014
0.0000 0.3299 0.2986
0.5000 0.6834 0.4126
0.5000 0.3166 0.5874
0.5000 0.8166 0.9126
0.5000 0.1834 0.0874
```

energy relative to the elements, uncorrected: -1259 meV per atom
relative energy among the computed polymorphs: 0 meV per atom
calculated total energy: -5.147 eV per atom


(11)
## Pr2SbSe6 (GGA-PBE)

Data for an optimized crystal structure of Pr2SbSe6.

Geometry as POSCAR:
```
Pr2SbSe6
1.0
6.7123 0.0000 0.0000
0.0000 6.7123 0.0000
0.0000 0.0000 13.0994
Pr Sb Se
4 2 12
Direct
0.0000 0.0000 0.3361
0.5000 0.5000 0.8361
0.5000 0.5000 0.1639
0.0000 0.0000 0.6639
0.0000 0.0000 0.0000
0.5000 0.5000 0.5000
0.3128 0.3128 0.3462
0.6872 0.6872 0.3462
0.1872 0.8128 0.8462
0.8128 0.1872 0.8462
0.1872 0.8128 0.1538
0.8128 0.1872 0.1538
0.3128 0.3128 0.6538
0.6872 0.6872 0.6538
0.2861 0.2861 0.0000
0.7139 0.7139 0.0000
0.2139 0.7861 0.5000
0.7861 0.2139 0.5000
```

energy relative to the elements, uncorrected: -804 meV per atom
calculated total energy: -4.648 eV per atom


(12)
## Pr2SbSe4 (GGA-PBE)

Data for an optimized crystal structure of Pr2SbSe4.

Geometry as POSCAR:
```
Pr2SbSe4
1.0
-3.3236 6.3242 5.1946
-5.1753 1.6599 -5.3321
-3.1679 -7.1404 0.8518
Pr Sb Se
4 2 8
Direct
0.6483 0.7500 0.0724
0.3517 0.2500 0.9276
0.3506 0.2500 0.4271
0.6494 0.7500 0.5729
0.1307 0.7500 0.3076
0.8693 0.2500 0.6924
0.5011 0.4995 0.2513
0.9306 0.7500 0.9557
0.0694 0.2500 0.0443
0.5011 0.0005 0.2513
0.0704 0.2500 0.5371
0.4989 0.9995 0.7487
0.4989 0.5005 0.7487
0.9296 0.7500 0.4629
```

energy relative to the elements, uncorrected: -1169 meV per atom
calculated total energy: -5.115 eV per atom